Entry 1:
Density functional theory data (PBE) for ErSc2Ru2 after structural relaxation.

Structure (POSCAR):
```
ErSc2Ru2
1.0
4.713 0.000 0.000
0.000 5.331 0.315
0.000 -0.473 8.155
Ru Sc Er
4 4 2
Direct
0.250 0.344 0.922
0.250 0.660 0.586
0.750 0.340 0.414
0.750 0.656 0.078
0.250 0.861 0.897
0.750 0.841 0.442
0.750 0.139 0.103
0.250 0.159 0.558
0.750 0.454 0.755
0.250 0.546 0.245
```

## Properties
* symmetry: No. 11
* crystal system: monoclinic
* energy relative to the lowest polymorph listed for this composition: 75 meV/atom



Entry 2:
Density functional theory data (PBE) for Er3Sc2Ru4 after structural relaxation.

Structure (POSCAR):
```
Er3Sc2Ru4
1.0
4.735 0.000 0.001
2.367 4.099 0.154
-0.002 -0.334 8.893
Ru Er Sc
4 3 2
Direct
0.333 0.333 0.105
0.000 0.000 0.649
0.667 0.667 0.895
0.000 0.000 0.351
0.667 0.667 0.591
0.333 0.333 0.409
0.000 0.000 0.000
0.333 0.334 0.798
0.667 0.666 0.202
```

## Properties
* symmetry: No. 164
* crystal system: trigonal



Asked for electronic total energy across the records above, the calculation gives -7.4964, -7.4790 eV/atom in order.
Asked for size of the total moment across the records above, the calculation gives 0.000, 0.000 μB/atom in order.
Asked for DFT formation energy across the records above, the calculation gives -0.34, -0.43 eV/atom in order.